A plane-wave DFT calculation with PBE was carried out for an optimized crystal structure of YAl4V.

The structure belongs to space group F-43m (No. 216); the cell edges are 7.508, 7.508 and 7.508 Å and the angles 90.00°, 90.00° and 90.00°. The asymmetric unit holds Y at (0.000, 0.000, 0.000), Al at (0.124, 0.124, 0.624) and V at (0.250, 0.250, 0.250).

The total energy is -5.311 eV/atom. The crystal system is cubic. The value obtained for the density of states at the Fermi level is 0.403 states/eV per atom. The value obtained for the calculated volume is 105.8 Å³/f.u.

A plane-wave DFT calculation with PBE was carried out for an optimized crystal structure of TaAl2Tl.

The structure belongs to space group Pmmm (No. 47); the cell edges are 3.156, 3.959 and 6.056 Å and the angles 90.00°, 90.00° and 90.00°. The asymmetric unit holds Ta at (0.000, 0.000, 0.000), Al at (0.500, 0.500, 0.219) and Tl at (0.000, 0.000, 0.500).

The total energy is -5.274 eV/atom. The crystal system is orthorhombic. The value obtained for the density of states at the Fermi level is 0.512 states/eV per atom. The value obtained for the calculated volume is 75.7 Å³/f.u.

A plane-wave DFT calculation with PBE was carried out for an optimized crystal structure of LiTb2Zn2Pt5.

The structure belongs to space group P4/mbm (No. 127); the cell edges are 9.617, 9.617 and 3.769 Å and the angles 90.00°, 90.00° and 90.00°. The asymmetric unit holds Li at (0.000, 0.000, 0.000), Tb at (0.175, 0.325, 0.000), Zn at (0.124, 0.624, 0.000), Pt at (0.000, 0.500, 0.500) and Pt at (0.066, 0.800, 0.500).

The total energy is -5.193 eV/atom. The crystal system is tetragonal. The value obtained for the density of states at the Fermi level is 0.391 states/eV per atom. The value obtained for the calculated volume is 174.3 Å³/f.u.

A plane-wave DFT calculation with PBE was carried out for an optimized crystal structure of PrMg2Sc.

The structure belongs to space group P4/mmm (No. 123); the cell edges are 3.676, 3.676 and 7.853 Å and the angles 90.00°, 90.00° and 90.00°. The asymmetric unit holds Pr at (0.000, 0.000, 0.000), Mg at (0.500, 0.500, 0.280) and Sc at (0.000, 0.000, 0.500).

The total energy is -3.630 eV/atom. The crystal system is tetragonal. The value obtained for the density of states at the Fermi level is 1.329 states/eV per atom. The value obtained for the calculated volume is 106.1 Å³/f.u.

A plane-wave DFT calculation with PBE was carried out for an optimized crystal structure of AcLa4PrNd2.

The structure belongs to space group P2/m (No. 10); the cell edges are 5.301, 5.320 and 10.584 Å and the angles 90.00°, 90.10° and 90.00°. The asymmetric unit holds Ac at (0.000, 0.000, 0.000), La at (0.001, 0.500, 0.255), La at (0.499, 0.000, 0.744), Pr at (0.500, 0.500, 0.500), Nd at (0.000, 0.000, 0.500) and Nd at (0.500, 0.500, 0.000).

The total energy is -4.751 eV/atom. The crystal system is monoclinic. The value obtained for the density of states at the Fermi level is 1.781 states/eV per atom. The value obtained for the calculated volume is 298.5 Å³/f.u.

A plane-wave DFT calculation with PBE was carried out for an optimized crystal structure of La2CeMgAs4.

The structure belongs to space group P2/m (No. 10); the cell edges are 7.322, 4.297 and 7.343 Å and the angles 90.00°, 110.03° and 90.00°. The asymmetric unit holds La at (0.000, 0.000, 0.000), La at (0.500, 0.500, 0.000), Ce at (0.000, 0.500, 0.500), Mg at (0.500, 0.000, 0.500), As at (0.243, 0.000, 0.737) and As at (0.255, 0.500, 0.268).

The total energy is -5.700 eV/atom. The crystal system is monoclinic. The value obtained for the density of states at the Fermi level is 0.229 states/eV per atom. The value obtained for the calculated volume is 217.0 Å³/f.u.

A plane-wave DFT calculation with PBE was carried out for an optimized crystal structure of Nb3Cl7O.

The structure belongs to space group Cm (No. 8); the cell edges are 11.742, 6.777 and 8.826 Å and the angles 90.00°, 131.65° and 90.00°. The asymmetric unit holds Nb at (0.000, 0.000, 0.000), Nb at (0.203, 0.203, 0.000), Cl at (0.182, 0.000, 0.757), Cl at (0.204, 0.500, 0.803), Cl at (0.239, 0.500, 0.211), Cl at (0.429, 0.247, 0.757), Cl at (0.491, 0.247, 0.210) and O at (0.238, 0.000, 0.206).

For the energy relative to the elements, uncorrected, the calculation gives -1.40 eV/atom. The total energy is -5.775 eV/atom. The crystal system is monoclinic. The value obtained for the calculated volume is 262.4 Å³/f.u.

A plane-wave DFT calculation with PBE was carried out for an optimized crystal structure of LaCeSb2Rh5.

The structure belongs to space group P4/mmm (No. 123); the cell edges are 4.475, 4.475 and 9.140 Å and the angles 90.00°, 90.00° and 90.00°. The asymmetric unit holds La at (0.000, 0.000, 0.000), Ce at (0.000, 0.000, 0.500), Sb at (0.500, 0.500, 0.343), Rh at (0.000, 0.500, 0.216) and Rh at (0.500, 0.500, 0.000).

For the energy relative to the elements, uncorrected, the calculation gives -0.55 eV/atom. The total energy is -6.755 eV/atom. The crystal system is tetragonal. The value obtained for the density of states at the Fermi level is 1.166 states/eV per atom. The value obtained for the calculated volume is 183.0 Å³/f.u.

A plane-wave DFT calculation with PBE was carried out for an optimized crystal structure of ZrNb2PdN.

The structure belongs to space group P4/mmm (No. 123); the cell edges are 4.212, 4.212 and 4.553 Å and the angles 90.00°, 90.00° and 90.00°. The asymmetric unit holds Zr at (0.000, 0.000, 0.000), Nb at (0.000, 0.500, 0.500), Pd at (0.500, 0.500, 0.000) and N at (0.000, 0.000, 0.500).

For the energy relative to the elements, uncorrected, the calculation gives -0.68 eV/atom. The total energy is -9.118 eV/atom. The crystal system is tetragonal. The value obtained for the density of states at the Fermi level is 0.886 states/eV per atom. The value obtained for the calculated volume is 80.8 Å³/f.u.

A plane-wave DFT calculation with PBE was carried out for an optimized crystal structure of EuDyP.

The structure belongs to space group P3m1 (No. 156); the cell edges are 4.0135, 4.0135 and 6.7295 Å and the angles 90.00°, 90.00° and 120.00°. The asymmetric unit holds Eu at (0.0000, 0.0000, 0.0000), Dy at (0.6667, 0.3333, 0.4836) and P at (0.3333, 0.6667, 0.2679).

The total energy is -7.648 eV/atom. The crystal system is trigonal. The value obtained for the density of states at the Fermi level is 3.145 states/eV per atom. The value obtained for the calculated volume is 93.9 Å³/f.u.

A plane-wave DFT calculation with PBE was carried out for an optimized crystal structure of ZnIn3Sn.

The structure belongs to space group Pm-3m (No. 221); the cell edges are 5.237, 5.237 and 5.237 Å and the angles 90.00°, 90.00° and 90.00°. The asymmetric unit holds Zn at (0.000, 0.000, 0.000), In at (0.000, 0.000, 0.500) and Sn at (0.500, 0.500, 0.500).

The total energy is -2.419 eV/atom. The crystal system is cubic. The value obtained for the density of states at the Fermi level is 0.861 states/eV per atom. The value obtained for the calculated volume is 143.6 Å³/f.u.

A plane-wave DFT calculation with PBE was carried out for an optimized crystal structure of Pr12Ho7Tl.

The structure belongs to space group R-3 (No. 148, hexagonal axes); the cell edges are 12.3627, 12.3627 and 15.4527 Å and the angles 90.00°, 90.00° and 120.00°. The asymmetric unit holds Pr at (0.0261, 0.4460, 0.2115), Pr at (0.0590, 0.5911, 0.5833), Ho at (0.0000, 0.0000, 0.0000), Ho at (0.0499, 0.1843, 0.3052) and Tl at (0.0000, 0.0000, 0.5000).

The total energy is -4.434 eV/atom. The crystal system is trigonal. The value obtained for the density of states at the Fermi level is 1.551 states/eV per atom. The value obtained for the calculated volume is 681.8 Å³/f.u.

A plane-wave DFT calculation with PBE was carried out for an optimized crystal structure of MnRhS2.

The structure belongs to space group I-42d (No. 122); the cell edges are 5.164, 5.164 and 10.104 Å and the angles 90.00°, 90.00° and 90.00°. The asymmetric unit holds Mn at (0.000, 0.000, 0.000), Rh at (0.000, 0.000, 0.500) and S at (0.225, 0.250, 0.125).

For the energy relative to the elements, uncorrected, the calculation gives -0.30 eV/atom. The total energy is -6.494 eV/atom. The crystal system is tetragonal. The value obtained for the density of states at the Fermi level is 0.751 states/eV per atom. The value obtained for the calculated volume is 67.4 Å³/f.u.

A plane-wave DFT calculation with PBE was carried out for an optimized crystal structure of CePmPu2.

The structure belongs to space group P4/mmm (No. 123); the cell edges are 3.403, 3.403 and 9.434 Å and the angles 90.00°, 90.00° and 90.00°. The asymmetric unit holds Ce at (0.000, 0.000, 0.000), Pm at (0.000, 0.000, 0.500) and Pu at (0.500, 0.500, 0.226).

The total energy is -9.670 eV/atom. The crystal system is tetragonal. The value obtained for the density of states at the Fermi level is 3.501 states/eV per atom. The value obtained for the calculated volume is 109.3 Å³/f.u.

A plane-wave DFT calculation with PBE was carried out for an optimized crystal structure of ScW4.

The structure belongs to space group I4/mmm (No. 139); the cell edges are 4.266, 4.266 and 10.945 Å and the angles 90.00°, 90.00° and 90.00°. The asymmetric unit holds Sc at (0.000, 0.000, 0.000), W at (0.000, 0.000, 0.383) and W at (0.000, 0.500, 0.250).

The total energy is -11.009 eV/atom. The crystal system is tetragonal. The value obtained for the density of states at the Fermi level is 1.079 states/eV per atom. The value obtained for the calculated volume is 99.6 Å³/f.u.

A plane-wave DFT calculation with PBE was carried out for an optimized crystal structure of La8P3PdBr4.

The structure belongs to space group R-3m (No. 166, hexagonal axes); the cell edges are 8.5524, 8.5524 and 21.8599 Å and the angles 90.00°, 90.00° and 120.00°. The asymmetric unit holds La at (0.0000, 0.0000, 0.2372), La at (0.0077, 0.5039, 0.7610), P at (0.0000, 0.5000, 0.5000), Pd at (0.0000, 0.0000, 0.5000), Br at (0.0000, 0.0000, 0.0000) and Br at (0.0000, 0.5000, 0.0000).

For the energy relative to the elements, uncorrected, the calculation gives -1.44 eV/atom. The total energy is -5.663 eV/atom. The crystal system is trigonal. The value obtained for the density of states at the Fermi level is 0.655 states/eV per atom. The value obtained for the calculated volume is 461.6 Å³/f.u.

A plane-wave DFT calculation with PBE was carried out for an optimized crystal structure of SmDy4Ho10.

The structure belongs to space group I4/m (No. 87); the cell edges are 12.101, 12.101 and 7.656 Å and the angles 90.00°, 90.00° and 90.00°. The asymmetric unit holds Sm at (0.000, 0.000, 0.000), Dy at (0.100, 0.699, 0.500), Ho at (0.000, 0.500, 0.250) and Ho at (0.101, 0.200, 0.252).

The total energy is -3.857 eV/atom. The crystal system is tetragonal. The value obtained for the density of states at the Fermi level is 1.113 states/eV per atom. The value obtained for the calculated volume is 560.5 Å³/f.u.

A plane-wave DFT calculation with PBE was carried out for an optimized crystal structure of Sc4AgRh.

The structure belongs to space group F-43m (No. 216); the cell edges are 7.860, 7.860 and 7.860 Å and the angles 90.00°, 90.00° and 90.00°. The asymmetric unit holds Sc at (0.124, 0.124, 0.376), Ag at (0.000, 0.000, 0.000) and Rh at (0.250, 0.250, 0.750).

The total energy is -5.630 eV/atom. The crystal system is cubic. The value obtained for the density of states at the Fermi level is 1.390 states/eV per atom. The value obtained for the calculated volume is 121.4 Å³/f.u.

A plane-wave DFT calculation with PBE was carried out for an optimized crystal structure of LiSmZnAu.

The structure belongs to space group F-43m (No. 216); the cell edges are 6.930, 6.930 and 6.930 Å and the angles 90.00°, 90.00° and 90.00°. The asymmetric unit holds Li at (0.000, 0.000, 0.000), Sm at (0.000, 0.000, 0.500), Zn at (0.250, 0.250, 0.750) and Au at (0.250, 0.250, 0.250).

The total energy is -3.252 eV/atom. The crystal system is cubic. The value obtained for the density of states at the Fermi level is 0.763 states/eV per atom. The value obtained for the calculated volume is 83.2 Å³/f.u.

A plane-wave DFT calculation with PBE was carried out for an optimized crystal structure of KBHO2.

The structure belongs to space group P4/mmm (No. 123); the cell edges are 4.542, 4.542 and 2.757 Å and the angles 90.00°, 90.00° and 90.00°. The asymmetric unit holds K at (0.000, 0.000, 0.000), B at (0.500, 0.500, 0.000), H at (0.500, 0.500, 0.500) and O at (0.000, 0.500, 0.500).

The total energy is -3.491 eV/atom. The crystal system is tetragonal. The value obtained for the density of states at the Fermi level is 0.520 states/eV per atom. The value obtained for the calculated volume is 56.9 Å³/f.u.